This record from Alexandria describes a PBEsol-optimized structure of RbNa2ScSi. The functional is meta-GGA SCAN.

a = 5.125 Å, b = 5.125 Å, c = 5.960 Å
α = 90.00°, β = 90.00°, γ = 90.00°
Fractional coordinates of all 5 atoms:
1 Rb 0.000 0.000 0.000
2 Si 0.000 0.000 0.500
3 Sc 0.500 0.500 0.500
4 Na 0.500 0.000 0.000
5 Na 0.000 0.500 0.000

## Properties
For the density of states at the Fermi level, the calculation gives 0.407 states/eV per atom. The calculation puts the formation energy (no corrections) at 1105.2 meV per atom.


This record from Alexandria describes a PBEsol-optimized structure of TaZn2Rh. The functional is meta-GGA SCAN.

a = 4.179 Å, b = 4.425 Å, c = 4.179 Å
α = 61.82°, β = 90.00°, γ = 118.18°
Fractional coordinates of all 4 atoms:
1 Rh 0.000 0.000 0.000
2 Zn 0.250 0.500 0.250
3 Zn 0.500 0.000 0.500
4 Ta 0.750 0.500 0.750

## Properties
For the density of states at the Fermi level, the calculation gives 0.116 states/eV per atom. The value obtained for the formation energy is -0.308 eV/atom.


This record from Alexandria describes a PBEsol-optimized structure of LiCo3O6. The functional is meta-GGA SCAN.

a = 4.805 Å, b = 4.805 Å, c = 5.083 Å
α = 99.25°, β = 99.25°, γ = 119.87°
Fractional coordinates of all 10 atoms:
1 O 0.074 0.401 0.700
2 O 0.926 0.599 0.300
3 O 0.401 0.074 0.700
4 O 0.599 0.926 0.300
5 O 0.727 0.727 0.694
6 O 0.273 0.273 0.306
7 Co 0.000 0.000 0.500
8 Co 0.670 0.330 0.500
9 Co 0.330 0.670 0.500
10 Li 0.500 0.500 0.000

## Properties
For the density of states at the Fermi level, the calculation gives 0.524 states/eV per atom. The calculation puts the formation energy (no corrections) at -1424.8 meV per atom.


Q: Which formula does entry 2 have?
A: TaZn2Rh


Copy entry 1 word for word.
This record from Alexandria describes a PBEsol-optimized structure of RbNa2ScSi. The functional is meta-GGA SCAN.

a = 5.125 Å, b = 5.125 Å, c = 5.960 Å
α = 90.00°, β = 90.00°, γ = 90.00°
Fractional coordinates of all 5 atoms:
1 Rb 0.000 0.000 0.000
2 Si 0.000 0.000 0.500
3 Sc 0.500 0.500 0.500
4 Na 0.500 0.000 0.000
5 Na 0.000 0.500 0.000

## Properties
For the density of states at the Fermi level, the calculation gives 0.407 states/eV per atom. The calculation puts the formation energy (no corrections) at 1105.2 meV per atom.